Density functional theory data (meta-GGA SCAN) for a PBEsol-optimized structure of Ba4As.

extended XYZ file:
```
5
Lattice="-5.374 5.374 2.079 5.374 -5.374 2.079 5.374 5.374 -2.079" Properties=species:S:1:pos:R:3 pbc="T T T"
Ba 2.540 0.587 0.000
Ba 4.787 -2.834 2.079
Ba 0.587 8.208 0.000
Ba 2.834 4.787 2.079
As 0.000 0.000 2.079
```

Output
The space group is I4/m, No. 87. The volume comes out at 240.2 Å³ per cell. The value obtained for the formation energy is -0.551 eV per atom.